Record 1
The following is a DFT calculation (PBE) of an optimized crystal structure of ReP2RhS.

- Relative energy among the computed polymorphs: 0.0 meV/atom
- Formation energy without anion corrections: 0.88 eV/atom

Unit cell a=4.607 b=4.607 c=4.526 alpha=90.00 beta=90.00 gamma=90.00
Fractional positions:
P  0.500  0.000  0.000
Rh  0.500  0.500  0.500
S  0.000  0.000  0.500
P  0.000  0.500  0.000
Re  0.000  0.000  0.000



Record 2
The following is a DFT calculation (PBE) of an optimized crystal structure of CsNa12Hg6.

Unit cell a=8.998 b=8.998 c=8.998 alpha=103.75 beta=103.75 gamma=103.75
Fractional positions:
Na  0.879  0.121  0.500
Hg  0.754  0.299  0.754
Cs  0.000  0.000  0.000
Na  0.500  0.879  0.121
Na  0.556  0.830  0.556
Na  0.170  0.444  0.444
Na  0.830  0.556  0.556
Na  0.500  0.121  0.879
Hg  0.754  0.754  0.299
Na  0.444  0.444  0.170
Na  0.879  0.500  0.121
Na  0.556  0.556  0.830
Na  0.121  0.500  0.879
Na  0.121  0.879  0.500
Hg  0.246  0.701  0.246
Na  0.444  0.170  0.444
Hg  0.299  0.754  0.754
Hg  0.246  0.246  0.701
Hg  0.701  0.246  0.246



Record 3
The following is a DFT calculation (PBE) of an optimized crystal structure of Zn3P.

- Relative energy among the computed polymorphs: 0.0 meV/atom

Unit cell a=7.101 b=7.101 c=3.112 alpha=90.00 beta=90.00 gamma=110.08
Fractional positions:
Zn  0.917  0.597  0.750
Zn  0.597  0.917  0.250
Zn  0.098  0.902  0.250
Zn  0.902  0.098  0.750
P  0.564  0.436  0.750
Zn  0.083  0.403  0.250
Zn  0.403  0.083  0.750
P  0.436  0.564  0.250



Number 1: electronic total energy -6.068 eV per atom. Number 2: electronic total energy -1.120 eV per atom. Number 3: electronic total energy -2.272 eV per atom.